KNaSn2Au2 after structural relaxation. Source: Alexandria via LeMat-Bulk, functional PBE-GGA.

```
KNaSn2Au2
1.0
-0.172 3.120 -3.669
-3.237 -3.559 0.290
-4.937 4.846 4.352
K Na Sn Au
1 1 2 2
direct
0.000 0.000 0.000
0.000 0.000 0.500
0.333 0.667 0.692
0.667 0.333 0.308
0.333 0.667 0.328
0.667 0.333 0.672
```

Values from the calculation:
Space-group type = P-3m1
Formation energy = -0.3355 eV/atom
Density of states at the Fermi level = 2.73 states/eV per cell
Crystal system = trigonal


Rb2AuBr2 after structural relaxation. Source: Alexandria via LeMat-Bulk, functional PBE-GGA.

```
Rb2AuBr2
1.0
-2.641 -0.187 -3.829
-1.959 -3.931 1.544
-8.809 2.854 3.107
Au Br Rb
1 2 2
direct
0.000 0.000 0.000
0.750 0.250 0.500
0.250 0.750 0.500
0.390 0.390 0.220
0.610 0.610 0.780
```

Values from the calculation:
Space-group type = I4/mmm
Density of states at the Fermi level = 3.66 states/eV per cell
E_form (uncorrected) = -63.1 kJ/mol of atoms
Crystal system = tetragonal


Ni2PCl after structural relaxation. Source: Alexandria via LeMat-Bulk, functional PBE-GGA.

```
Ni2PCl
1.0
-3.267 1.552 -0.609
-2.384 0.766 2.680
-1.179 6.430 1.853
Cl Ni P
1 2 1
direct
0.250 0.250 0.250
0.995 0.995 0.891
0.505 0.505 0.609
0.750 0.750 0.750
```

Values from the calculation:
Space-group type = C2/m
Density of states at the Fermi level = 2.12 states/eV per cell
E_form (uncorrected) = -22.8 kJ/mol of atoms
Crystal system = monoclinic


OsPtAu4 after structural relaxation. Source: Alexandria via LeMat-Bulk, functional PBE-GGA.

```
OsPtAu4
1.0
0.443 -3.381 4.154
-1.109 1.698 4.977
-4.411 -1.756 2.518
Os Pt Au
1 1 4
direct
0.750 0.750 0.750
0.000 0.000 0.000
0.875 0.375 0.375
0.375 0.375 0.875
0.375 0.875 0.375
0.375 0.375 0.375
```

Values from the calculation:
Space-group type = F-43m
Formation energy = 0.8452 eV/atom
Density of states at the Fermi level = 5.00 states/eV per cell
Crystal system = cubic


Ti4MnGa after structural relaxation. Source: Alexandria via LeMat-Bulk, functional PBE-GGA.

```
Ti4MnGa
1.0
-2.111 -3.870 -0.007
1.422 -3.282 -2.584
3.516 -4.436 3.796
Ti Mn Ga
4 1 1
direct
0.640 0.640 0.080
0.360 0.360 0.920
0.114 0.113 0.660
0.886 0.887 0.340
0.000 0.000 0.000
0.500 0.500 0.500
```

Values from the calculation:
Space-group type = R-3m
Formation energy = 0.0632 eV/atom
Density of states at the Fermi level = 5.91 states/eV per cell
Crystal system = trigonal


CuI2BrN after structural relaxation. Source: Alexandria via LeMat-Bulk, functional PBE-GGA.

```
CuI2BrN
1.0
5.914 0.000 0.000
0.000 5.914 0.000
0.000 0.000 3.605
I Cu Br N
2 1 1 1
direct
0.000 0.500 0.000
0.500 0.000 0.000
0.000 0.000 0.000
0.500 0.500 0.500
0.000 0.000 0.500
```

Values from the calculation:
Space-group type = P4/mmm
Density of states at the Fermi level = 5.91 states/eV per cell
E_form (uncorrected) = 81.6 kJ/mol of atoms
Crystal system = tetragonal


Ca4ZnHg2 after structural relaxation. Source: Alexandria via LeMat-Bulk, functional PBE-GGA.

```
Ca4ZnHg2
1.0
5.073 0.000 1.585
2.289 4.528 1.585
-0.054 -0.033 9.083
Ca Zn Hg
4 1 2
direct
0.876 0.876 0.372
0.124 0.124 0.628
0.625 0.625 0.124
0.375 0.375 0.876
0.000 0.000 0.000
0.750 0.750 0.749
0.250 0.250 0.251
```

Values from the calculation:
Space-group type = R-3m
Formation energy = -0.3625 eV/atom
Density of states at the Fermi level = 4.03 states/eV per cell
Crystal system = trigonal


NdY12Tm7 after structural relaxation. Source: Alexandria via LeMat-Bulk, functional PBE-GGA.

```
NdY12Tm7
1.0
9.237 0.000 -3.266
-4.619 8.000 -3.266
0.000 0.000 9.798
Nd Y Tm
1 12 7
direct
0.000 0.000 0.000
0.489 0.745 0.745
0.000 0.745 0.255
0.511 0.255 0.255
0.000 0.255 0.745
0.745 0.000 0.255
0.745 0.489 0.745
0.255 0.000 0.745
0.255 0.511 0.255
0.745 0.745 0.489
0.255 0.255 0.511
0.745 0.255 0.000
0.255 0.745 0.000
0.500 0.500 0.000
0.000 0.500 0.500
0.500 0.000 0.500
0.500 0.500 0.500
0.000 0.000 0.500
0.500 0.000 0.000
0.000 0.500 0.000
```

Values from the calculation:
Space-group type = Im-3m
Formation energy = 0.7006 eV/atom
Density of states at the Fermi level = 23.71 states/eV per cell
Crystal system = cubic


Tb2DyRu after structural relaxation. Source: Alexandria via LeMat-Bulk, functional PBE-GGA.

```
Tb2DyRu
1.0
-1.394 -3.185 -0.479
0.710 -1.805 -2.925
8.239 -6.090 3.652
Ru Tb Dy
1 2 1
direct
0.500 0.500 0.500
0.107 0.107 0.679
0.893 0.893 0.321
0.000 0.000 0.000
```

Values from the calculation:
Space-group type = R-3m
Formation energy = 0.1258 eV/atom
Density of states at the Fermi level = 6.79 states/eV per cell
Crystal system = trigonal


GdHoMgBe after structural relaxation. Source: Alexandria via LeMat-Bulk, functional PBE-GGA.

```
GdHoMgBe
1.0
5.102 0.000 0.000
2.551 4.418 0.000
2.551 1.473 4.165
Be Mg Gd Ho
1 1 1 1
direct
0.000 0.000 0.000
0.500 0.500 0.500
0.250 0.250 0.250
0.750 0.750 0.750
```

Values from the calculation:
Space-group type = F-43m
Formation energy = 0.0899 eV/atom
Density of states at the Fermi level = 3.39 states/eV per cell
Crystal system = cubic


MnPtAu2 after structural relaxation. Source: Alexandria via LeMat-Bulk, functional PBE-GGA.

```
MnPtAu2
1.0
2.934 0.000 0.000
0.000 2.934 0.000
0.000 0.000 7.709
Au Mn Pt
2 1 1
direct
0.000 0.000 0.993
0.500 0.500 0.268
0.000 0.000 0.512
0.500 0.500 0.727
```

Values from the calculation:
Space-group type = P4mm
Formation energy = -0.1316 eV/atom
Density of states at the Fermi level = 2.12 states/eV per cell
Crystal system = tetragonal


RbAcAgI5 after structural relaxation. Source: Alexandria via LeMat-Bulk, functional PBE-GGA.

```
RbAcAgI5
1.0
8.793 -0.031 -0.060
-2.596 8.401 -0.060
-2.636 -3.561 11.159
Rb Ac Ag I
2 2 2 10
direct
0.364 0.636 0.250
0.636 0.364 0.750
0.000 0.000 0.500
0.000 0.000 0.000
0.687 0.313 0.250
0.313 0.687 0.750
0.096 0.904 0.250
0.904 0.096 0.750
0.923 0.330 0.120
0.077 0.670 0.880
0.670 0.077 0.380
0.330 0.923 0.620
0.749 0.612 0.442
0.251 0.388 0.558
0.388 0.251 0.058
0.612 0.749 0.942
```

Values from the calculation:
Space-group type = C2/c
Density of states at the Fermi level = 0.00 states/eV per cell
E_form (uncorrected) = -115.3 kJ/mol of atoms
Crystal system = monoclinic


Ac2Ag3Ge4 after structural relaxation. Source: Alexandria via LeMat-Bulk, functional PBE-GGA.

```
Ac2Ag3Ge4
1.0
6.197 0.000 0.000
0.000 8.191 0.000
-3.099 0.000 8.095
Ac Ag Ge
4 6 8
direct
0.113 0.587 0.226
0.887 0.413 0.774
0.387 0.087 0.774
0.613 0.913 0.226
0.000 0.000 0.000
0.500 0.500 0.000
0.533 0.750 0.565
0.967 0.250 0.435
0.467 0.250 0.435
0.033 0.750 0.565
0.697 0.750 0.895
0.803 0.250 0.105
0.303 0.250 0.105
0.197 0.750 0.895
0.178 0.980 0.356
0.822 0.020 0.644
0.322 0.480 0.644
0.678 0.520 0.356
```

Values from the calculation:
Space-group type = Cmce
Formation energy = -0.3372 eV/atom
Density of states at the Fermi level = 6.83 states/eV per cell
Crystal system = orthorhombic


AlPtO2 after structural relaxation. Source: Alexandria via LeMat-Bulk, functional PBE-GGA.

```
AlPtO2
1.0
12.347 0.000 -0.208
3.354 3.331 -1.293
-3.354 3.331 1.293
O Al Pt
4 2 2
direct
0.043 0.575 0.491
0.543 0.009 0.925
0.432 0.457 0.252
0.932 0.248 0.043
0.231 0.574 0.668
0.731 0.832 0.926
0.312 0.032 0.275
0.812 0.225 0.468
```

Values from the calculation:
Space-group type = Cc
Density of states at the Fermi level = 1.47 states/eV per cell
E_form (uncorrected) = -132.4 kJ/mol of atoms
Crystal system = monoclinic


LaSb2Mo after structural relaxation. Source: Alexandria via LeMat-Bulk, functional PBE-GGA.

```
LaSb2Mo
1.0
5.312 0.000 0.000
0.000 5.312 0.000
2.656 2.656 8.821
Sb Mo La
4 2 2
direct
0.500 0.125 0.250
0.250 0.625 0.250
0.375 0.500 0.750
0.875 0.750 0.750
0.500 0.500 0.000
0.250 0.750 0.500
0.000 0.000 0.000
0.750 0.250 0.500
```

Values from the calculation:
Space-group type = I-42d
Density of states at the Fermi level = 10.98 states/eV per cell
E_form (uncorrected) = 17.6 kJ/mol of atoms
Crystal system = tetragonal


RbSr2In2 after structural relaxation. Source: Alexandria via LeMat-Bulk, functional PBE-GGA.

```
RbSr2In2
1.0
-3.636 5.000 0.486
-3.815 -2.358 -4.283
-6.769 -1.295 2.252
Sr Rb In
2 1 2
direct
0.750 0.250 0.500
0.250 0.750 0.500
0.000 0.000 0.000
0.380 0.380 0.240
0.620 0.620 0.760
```

Values from the calculation:
Space-group type = I4/mmm
Formation energy = -0.1467 eV/atom
Density of states at the Fermi level = 3.67 states/eV per cell
Crystal system = tetragonal


CaAc2Al3Pt4 after structural relaxation. Source: Alexandria via LeMat-Bulk, functional PBE-GGA.

```
CaAc2Al3Pt4
1.0
-3.959 -1.413 -1.519
1.872 -1.020 -3.929
2.214 -10.179 3.697
Ca Ac Al Pt
1 2 3 4
direct
0.500 0.500 0.500
0.500 0.000 0.234
0.000 0.500 0.766
0.000 0.000 0.500
0.500 0.000 0.889
0.000 0.500 0.111
0.500 0.500 0.000
0.000 0.000 0.000
0.500 0.000 0.657
0.000 0.500 0.343
```

Values from the calculation:
Space-group type = P-4m2
Formation energy = -0.9974 eV/atom
Density of states at the Fermi level = 7.79 states/eV per cell
Crystal system = tetragonal


NaAlI3 after structural relaxation. Source: Alexandria via LeMat-Bulk, functional PBE-GGA.

```
NaAlI3
1.0
-3.182 -0.740 -5.001
-4.904 -0.985 3.266
-1.229 5.846 -0.083
I Na Al
3 1 1
direct
0.000 0.500 0.000
0.000 0.000 0.500
0.500 0.000 0.000
0.000 0.000 0.000
0.500 0.500 0.500
```

Values from the calculation:
Space-group type = Pm-3m
Density of states at the Fermi level = 7.40 states/eV per cell
E_form (uncorrected) = -10.3 kJ/mol of atoms
Crystal system = cubic


TcRuSe after structural relaxation. Source: Alexandria via LeMat-Bulk, functional PBE-GGA.

```
TcRuSe
1.0
-0.062 -4.060 1.024
0.553 -2.914 -2.956
3.538 -2.238 -0.098
Ru Se Tc
1 1 1
direct
0.000 0.000 0.000
0.500 0.500 0.500
0.750 0.750 0.750
```

Values from the calculation:
Space-group type = F-43m
Density of states at the Fermi level = 4.73 states/eV per cell
E_form (uncorrected) = 28.4 kJ/mol of atoms
Crystal system = cubic


Hf3Zr2Ir2 after structural relaxation. Source: Alexandria via LeMat-Bulk, functional PBE-GGA.

```
Hf3Zr2Ir2
1.0
-3.128 0.464 1.226
2.310 -4.572 2.934
2.280 7.545 2.961
Hf Zr Ir
3 2 2
direct
0.500 0.000 0.000
0.613 0.227 0.440
0.387 0.773 0.560
0.845 0.691 0.176
0.155 0.309 0.824
0.828 0.656 0.760
0.172 0.344 0.240
```

Values from the calculation:
Space-group type = C2/m
Formation energy = -0.5779 eV/atom
Density of states at the Fermi level = 8.17 states/eV per cell
Crystal system = monoclinic